A plane-wave DFT calculation with GGA-PBE was carried out for Y2Re17 after structural relaxation.

abc: 6.8930 6.8930 6.8930
angles: 81.63 81.63 81.63
Positions (direct):
1 Y 0.1544 0.1544 0.1544
2 Y 0.8456 0.8456 0.8456
3 Re 0.0000 0.5000 0.5000
4 Re 0.1559 0.1559 0.6571
5 Re 0.1559 0.6571 0.1559
6 Re 0.2024 0.5000 0.7976
7 Re 0.2024 0.7976 0.5000
8 Re 0.3429 0.8441 0.8441
9 Re 0.4080 0.4080 0.4080
10 Re 0.5000 0.0000 0.5000
11 Re 0.5000 0.2024 0.7976
12 Re 0.5000 0.5000 0.0000
13 Re 0.5000 0.7976 0.2024
14 Re 0.5920 0.5920 0.5920
15 Re 0.6571 0.1559 0.1559
16 Re 0.7976 0.2024 0.5000
17 Re 0.7976 0.5000 0.2024
18 Re 0.8441 0.3429 0.8441
19 Re 0.8441 0.8441 0.3429

Output
Its formation energy is 0.3 eV/f.u. Its crystal system is trigonal. As for the space group: R-3m.

---

A plane-wave DFT calculation with GGA-PBE was carried out for Y2Re17 after structural relaxation.

abc: 6.8977 6.8977 6.8940
angles: 98.56 98.56 81.49
Positions (direct):
1 Y 0.1536 0.1536 0.3448
2 Y 0.8464 0.8464 0.6552
3 Re 0.0000 0.5000 0.0000
4 Re 0.1555 0.1555 0.8434
5 Re 0.1561 0.6571 0.3440
6 Re 0.2009 0.4990 0.7005
7 Re 0.2040 0.7960 0.0000
8 Re 0.3429 0.8439 0.6560
9 Re 0.4081 0.4081 0.0918
10 Re 0.4990 0.2009 0.7005
11 Re 0.5000 0.0000 0.0000
12 Re 0.5000 0.5000 0.5000
13 Re 0.5010 0.7991 0.2995
14 Re 0.5919 0.5919 0.9082
15 Re 0.6571 0.1561 0.3440
16 Re 0.7960 0.2040 0.0000
17 Re 0.7991 0.5010 0.2995
18 Re 0.8439 0.3429 0.6560
19 Re 0.8445 0.8445 0.1566

Output
Its formation energy is 0.3 eV/f.u. Its crystal system is monoclinic. As for the space group: C2/m.

---

A plane-wave DFT calculation with GGA-PBE was carried out for ZnRe after structural relaxation.

abc: 4.6081 4.4239 5.5864
angles: 90.00 90.00 90.00
Positions (direct):
1 Zn 0.0754 0.2500 0.1258
2 Zn 0.4246 0.7500 0.6258
3 Zn 0.5754 0.2500 0.3742
4 Zn 0.9246 0.7500 0.8742
5 Re 0.0495 0.2500 0.6223
6 Re 0.4505 0.7500 0.1223
7 Re 0.5495 0.2500 0.8777
8 Re 0.9505 0.7500 0.3777

Output
Its formation energy is 0.4 eV/f.u. Its crystal system is orthorhombic. For the energy relative to the lowest polymorph listed for this composition, the calculation gives 0.084 eV per atom. As for the space group: Pnma.